Record 1
PBE Zr2ReCl, optimized geometry; M_tot = 0.000 μB per formula unit; formation energy without anion corrections = 8 meV/atom; theoretical density = 7.7 g/cm³; energy above the lowest structure with this stoichiometry = 643 meV per atom
1.0
1.6507 -2.5760 0.0000
1.6507 2.5760 0.0000
0.0000 0.0000 10.2325
Zr Re Cl
2 1 1
direct
0.0000 0.0000 0.0000
0.5000 0.5000 0.2598
0.0000 0.0000 0.4575
0.5000 0.5000 0.8060

---

Record 2
PBE BaTa2Sb, optimized geometry; M_tot = 0.000 μB per formula unit; formation energy without anion corrections = 1074 meV/atom; theoretical density = 10.6 g/cm³
1.0
3.2123 -4.9845 0.0000
3.2123 4.9845 0.0000
0.0000 0.0000 3.0278
Ba Ta Sb
1 2 1
direct
0.0000 0.0000 0.0000
0.0000 0.5000 0.5000
0.5000 0.0000 0.5000
0.5000 0.5000 0.0000

---

Record 3
PBE SmBrClF, optimized geometry; M_tot = 0.000 μB per formula unit; formation energy without anion corrections = -2763 meV/atom; theoretical density = 4.5 g/cm³
1.0
2.0326 1.1735 7.3637
-2.0326 1.1735 7.3637
0.0000 -2.3471 7.3637
Sm Br Cl F
1 1 1 1
direct
0.0000 0.0000 0.0000
0.2437 0.2437 0.2437
0.4122 0.4122 0.4122
0.6668 0.6668 0.6668

---

- Look up the theoretical density of the first one.
  7.7 g/cm³

---

- The lowest theoretical density belongs to which entry?
  SmBrClF

---

- What is the formation energy without anion corrections in the second record?
  1074 meV/atom